The following is a PBE+U calculation of a relaxed structure of Sr2ScCoPO3, from OQMD via LeMat-Bulk.

Unit cell a=4.0193 b=4.0193 c=15.2232 alpha=90.00 beta=90.00 gamma=90.00
Closest atoms and distances in Å follow each position.
Fractional positions:
Sr1 0.2500 0.2500 0.0893  1 O 2.41
Sr2 0.2500 0.2500 0.3263  4 O 2.55
Sr3 0.7500 0.7500 0.6737  4 O 2.55
Sr4 0.7500 0.7500 0.9107  1 O 2.41
Sc1 0.2500 0.2500 0.7998  5 O 2.00-2.04
Sc2 0.7500 0.7500 0.2002  5 O 2.00-2.04
Co1 0.2500 0.7500 0.5000  4 P 2.23
Co2 0.7500 0.2500 0.5000  4 P 2.23
P1 0.2500 0.2500 0.5641  4 Co 2.23
P2 0.7500 0.7500 0.4359  4 Co 2.23
O1 0.2500 0.2500 0.9309  1 Sc 2.00
O2 0.2500 0.7500 0.2235  2 Sc 2.04
O3 0.2500 0.7500 0.7765  2 Sc 2.04
O4 0.7500 0.2500 0.2235  2 Sc 2.04
O5 0.7500 0.2500 0.7765  2 Sc 2.04
O6 0.7500 0.7500 0.0691  1 Sc 2.00

## Properties
- energy (eV/atom) = -6.684
- space-group type = P4/nmm, No. 129